Record 1
The following is a DFT calculation (GGA-PBE) of a geometry-optimized NaLuSnTe3 structure.

Values from the calculation:
calculated volume: 429.78 Å³/cell
VASP energy: -47.87 eV/cell

abc: 8.5516 8.5516 12.1671
angles: 90.00 90.00 151.12
Sites, in units of the cell vectors:
Te: 0.9806 0.0194 0.7500
Te: 0.0194 0.9806 0.2500
Te: 0.3716 0.6284 0.4880
Te: 0.3716 0.6284 0.0120
Te: 0.6284 0.3716 0.9880
Te: 0.6284 0.3716 0.5120
Na: 0.6809 0.3191 0.7500
Na: 0.3191 0.6809 0.2500
Sn: 0.6414 0.3586 0.2500
Sn: 0.3586 0.6414 0.7500
Lu: 0.0000 0.0000 0.0000
Lu: 0.0000 0.0000 0.5000

Record 2
The following is a DFT calculation (GGA-PBE) of a geometry-optimized NaSrLuTe3 structure.

Values from the calculation:
calculated volume: 392.86 Å³/cell
ΔE to the lowest computed polymorph: 0.000 eV per atom

abc: 9.7598 9.7598 9.6915
angles: 104.02 104.02 26.06
Sites, in units of the cell vectors:
Te: 0.6700 0.6700 0.3635
Te: 0.3191 0.3191 0.1890
Te: 0.6809 0.6809 0.8110
Te: 0.3300 0.3300 0.6365
Te: 0.0000 0.0000 0.5000
Te: 0.5000 0.5000 0.0000
Na: 0.4928 0.4928 0.2945
Na: 0.5072 0.5072 0.7055
Sr: 0.1359 0.1359 0.0663
Sr: 0.8641 0.8641 0.9337
Lu: 0.1656 0.1656 0.5836
Lu: 0.8344 0.8344 0.4164

Record 3
The following is a DFT calculation (GGA-PBE) of a geometry-optimized NaSrLuTe3 structure.

Values from the calculation:
calculated volume: 772.46 Å³/cell
ΔE to the lowest computed polymorph: 0.072 eV per atom

abc: 14.9401 4.5007 11.4878
angles: 90.00 90.00 90.00
Sites, in units of the cell vectors:
Te: 0.1216 0.7500 0.3705
Te: 0.6021 0.2500 0.4300
Te: 0.1021 0.2500 0.0700
Te: 0.3784 0.2500 0.8705
Te: 0.8979 0.7500 0.9300
Te: 0.8520 0.2500 0.2363
Te: 0.6216 0.7500 0.1295
Te: 0.3520 0.2500 0.2637
Te: 0.6480 0.7500 0.7363
Te: 0.8784 0.2500 0.6295
Te: 0.3979 0.7500 0.5700
Te: 0.1480 0.7500 0.7637
Na: 0.5042 0.7500 0.9094
Na: 0.9958 0.2500 0.4094
Na: 0.4958 0.2500 0.0906
Na: 0.0042 0.7500 0.5906
Lu: 0.0160 0.2500 0.8335
Lu: 0.5160 0.2500 0.6665
Lu: 0.9840 0.7500 0.1665
Lu: 0.4840 0.7500 0.3335
Sr: 0.7660 0.7500 0.4564
Sr: 0.2660 0.7500 0.0436
Sr: 0.7340 0.2500 0.9564
Sr: 0.2340 0.2500 0.5436

Record 4
The following is a DFT calculation (GGA-PBE) of a geometry-optimized NaSrLuTe3 structure.

Values from the calculation:
calculated volume: 389.46 Å³/cell
ΔE to the lowest computed polymorph: 0.072 eV per atom

abc: 8.4399 4.4740 10.8140
angles: 90.00 107.49 90.00
Sites, in units of the cell vectors:
Te: 0.0642 0.2500 0.8522
Te: 0.4361 0.7500 0.1369
Te: 0.5639 0.2500 0.8631
Te: 0.7019 0.2500 0.4558
Te: 0.9358 0.7500 0.1478
Te: 0.2981 0.7500 0.5442
Na: 0.0906 0.2500 0.5886
Na: 0.9094 0.7500 0.4114
Sr: 0.2652 0.2500 0.2926
Sr: 0.7348 0.7500 0.7074
Lu: 0.3084 0.7500 0.8451
Lu: 0.6916 0.2500 0.1549

Record 5
The following is a DFT calculation (GGA-PBE) of a geometry-optimized NaTbLu structure.

Values from the calculation:
calculated volume: 103.62 Å³/cell
ΔE to the lowest computed polymorph: 0.000 eV per atom

abc: 5.2722 5.2722 5.2722
angles: 60.00 60.00 60.00
Sites, in units of the cell vectors:
Na: 0.0000 0.0000 0.0000
Lu: 0.2500 0.2500 0.2500
Tb: 0.7500 0.7500 0.7500

Record 6
The following is a DFT calculation (GGA-PBE) of a geometry-optimized NaLuTc structure.

Values from the calculation:
calculated volume: 75.84 Å³/cell
ΔE to the lowest computed polymorph: 0.000 eV per atom

abc: 4.7513 4.7513 4.7513
angles: 60.00 60.00 60.00
Sites, in units of the cell vectors:
Tc: 0.0000 0.0000 0.0000
Lu: 0.2500 0.2500 0.2500
Na: 0.7500 0.7500 0.7500